A relaxed LaPm2Sc crystal, computed with GGA-PBE.

Geometry as extended XYZ:
```
8
Lattice="5.932 0.000 0.000 0.000 3.358 0.000 -0.342 0.000 13.182" Properties=species:S:1:pos:R:3 pbc="T T T"
La 1.265 0.840 2.190
La 4.326 2.519 10.992
Pm 1.317 0.840 5.904
Pm 1.271 2.519 9.117
Pm 4.320 0.840 4.065
Pm 4.274 2.519 7.278
Sc 1.351 2.519 12.455
Sc 4.239 0.840 0.727
```

- Final energy: -0.36244 Ry per atom
- SG: No. 11
- Formation energy: 0.259 eV per atom
- Crystal system: monoclinic